RbTi2SN PBE relaxed; VASP energy = -5.833 eV/atom; DOS(E_F) = 3.7 states/eV/f.u.; crystal system = tetragonal; formation energy from raw total energies = 9 meV per atom; total moment = 1.7 Bohr magnetons per cell
1.0
4.137 0.000 0.000
0.000 4.137 0.000
0.000 0.000 6.419
Rb Ti S N
1 2 1 1
Direct
0.000 0.000 0.000
0.000 0.500 0.500
0.500 0.000 0.500
0.500 0.500 0.000
0.500 0.500 0.500